A relaxed structure of Pu5HgBi3, computed with PBE.

## Properties
The value obtained for the uncorrected energy is -9.6416 eV/atom. For the density of states at the Fermi level, the calculation gives 41.984 states/eV/f.u.

a = 9.575 Å, b = 9.575 Å, c = 6.535 Å
α = 90.00°, β = 90.00°, γ = 120.00°
Sites, in units of the cell vectors:
Pu1 0.000 0.295 0.250
Pu2 0.000 0.705 0.750
Pu3 0.295 0.000 0.250
Pu4 0.295 0.295 0.750
Pu5 0.333 0.667 0.000
Pu6 0.333 0.667 0.500
Pu7 0.667 0.333 0.000
Pu8 0.667 0.333 0.500
Pu9 0.705 0.000 0.750
Pu10 0.705 0.705 0.250
Hg1 0.000 0.000 0.000
Hg2 0.000 0.000 0.500
Bi1 0.000 0.366 0.750
Bi2 0.000 0.634 0.250
Bi3 0.366 0.000 0.750
Bi4 0.366 0.366 0.250
Bi5 0.634 0.000 0.250
Bi6 0.634 0.634 0.750